# PBE-GGA LiIr2Os, relaxed
data_LiIr2Os
_chemical_formula_sum 'Li2 Ir4 Os2'
_space_group_name_H-M_alt 'I m m m'
_space_group_IT_number 71
_space_group_name_Hall '-I 2 2'
_cell_length_a 2.857
_cell_length_b 4.410
_cell_length_c 8.446
_cell_angle_alpha 90.00
_cell_angle_beta 90.00
_cell_angle_gamma 90.00
loop_
_atom_site_label
_atom_site_type_symbol
_atom_site_fract_x
_atom_site_fract_y
_atom_site_fract_z
Li1 Li 0.000 0.000 0.000
Ir1 Ir 0.000 0.500 0.269
Os1 Os 0.000 0.000 0.500
# formation enthalpy at 0 K = 0.6 eV/f.u.
# energy above the lowest structure with this stoichiometry = 186 meV/atom
# theoretical density = 18.2 Mg/m³
# final energy = -60.44 eV per cell